# KMgTe2

A relaxed KMgTe2 crystal (PBE-GGA, Alexandria via LeMat-Bulk).

POSCAR file:
```
KMgTe2
1.0
3.6086 0.0000 0.0000
0.0000 4.3939 0.0000
0.0000 0.0000 9.1574
Te K Mg
2 1 1
Cartesian
1.8043 2.1970 4.5742 Te
0.0000 0.0000 8.3316 Te
0.0000 0.0000 2.6599 K
1.8043 2.1970 7.3278 Mg
```

Summary:
- E_form (uncorrected): -0.664 eV/atom
- Calculated density: 3.64 g/cm³